{"formula": "Pr8PdSe4S3", "functional": "PBE", "state": "optimized geometry", "cell": [[-3.450, -6.973, 3.128], [4.110, -4.622, -5.772], [4.299, 5.164, 5.016]], "species": ["Pr", "Pr", "Pr", "Pr", "Pr", "Pr", "Pr", "Pr", "Pd", "Se", "Se", "Se", "Se", "S", "S", "S"], "frac_coords": [[0.248, 0.738, 0.990], [0.248, 0.738, 0.496], [0.257, 0.270, 0.513], [0.742, 0.738, 0.990], [0.258, 0.262, 0.010], [0.743, 0.730, 0.487], [0.752, 0.262, 0.504], [0.752, 0.262, 0.010], [0.000, 0.500, 0.000], [0.500, 0.000, 0.000], [0.500, 0.000, 0.500], [0.000, 0.000, 0.000], [0.000, 0.000, 0.500], [0.500, 0.500, 0.000], [0.500, 0.500, 0.500], [0.000, 0.500, 0.500]], "energy_ev_per_atom": -6.13}

=====

{"formula": "Pr6PdSe3S2", "functional": "PBE", "state": "optimized geometry", "cell": [[4.149, 0.000, 0.000], [0.000, 8.531, 0.278], [-2.075, -2.487, 8.909]], "species": ["Pr", "Pr", "Pr", "Pr", "Pr", "Pr", "Pd", "Se", "Se", "Se", "S", "S"], "frac_coords": [[0.331, 0.904, 0.662], [0.670, 0.573, 0.340], [0.669, 0.096, 0.338], [0.004, 0.244, 0.008], [0.996, 0.756, 0.992], [0.330, 0.427, 0.660], [0.500, 0.000, 0.000], [0.500, 0.500, 0.000], [0.835, 0.168, 0.669], [0.165, 0.832, 0.331], [0.832, 0.666, 0.665], [0.168, 0.334, 0.335]], "energy_ev_per_atom": -6.09}

=====

{"formula": "Pr4PdSe2S", "functional": "PBE", "state": "optimized geometry", "cell": [[4.169, 0.000, 0.000], [0.000, 7.364, 0.143], [0.000, -2.561, 6.935]], "species": ["Pr", "Pr", "Pr", "Pr", "Pd", "Se", "Se", "S"], "frac_coords": [[0.500, 0.240, 0.242], [0.500, 0.760, 0.758], [0.000, 0.252, 0.759], [0.000, 0.748, 0.241], [0.500, 0.500, 0.000], [0.500, 0.000, 0.500], [0.000, 0.500, 0.500], [0.000, 0.000, 0.000]], "energy_ev_per_atom": -6.02}

=====

{"formula": "Pr4PdSeS2", "functional": "PBE", "state": "optimized geometry", "cell": [[-3.233, 0.546, 2.507], [-4.128, -4.073, -4.436], [0.439, -6.977, 2.086]], "species": ["Pr", "Pr", "Pr", "Pr", "Pd", "Se", "S", "S"], "frac_coords": [[0.000, 0.758, 0.750], [0.000, 0.242, 0.250], [0.500, 0.765, 0.246], [0.500, 0.235, 0.754], [0.500, 0.500, 0.000], [0.000, 0.500, 0.500], [0.000, 0.000, 0.000], [0.500, 0.000, 0.500]], "energy_ev_per_atom": -6.13}

=====

{"formula": "PrUPdS4", "functional": "PBE", "state": "optimized geometry", "cell": [[-5.003, 2.673, -3.207], [-2.912, -5.327, 0.102], [-1.384, 0.903, 7.674]], "species": ["Pr", "Pr", "U", "U", "Pd", "Pd", "S", "S", "S", "S", "S", "S", "S", "S"], "frac_coords": [[0.762, 0.750, 0.945], [0.238, 0.250, 0.055], [0.760, 0.750, 0.442], [0.240, 0.250, 0.558], [0.232, 0.750, 0.317], [0.768, 0.250, 0.683], [0.037, 0.522, 0.738], [0.963, 0.022, 0.262], [0.963, 0.478, 0.262], [0.037, 0.978, 0.738], [0.451, 0.750, 0.122], [0.549, 0.250, 0.878], [0.461, 0.750, 0.613], [0.539, 0.250, 0.387]], "energy_ev_per_atom": -6.67}

=====

{"formula": "Pr2UPdS5", "functional": "PBE", "state": "optimized geometry", "cell": [[3.939, 0.000, 0.000], [-1.970, 8.217, 0.000], [0.000, 0.000, 12.227]], "species": ["Pr", "Pr", "Pr", "Pr", "U", "U", "Pd", "Pd", "S", "S", "S", "S", "S", "S", "S", "S", "S", "S"], "frac_coords": [[0.891, 0.783, 0.851], [0.117, 0.233, 0.696], [0.109, 0.217, 0.351], [0.883, 0.767, 0.196], [0.820, 0.640, 0.525], [0.180, 0.360, 0.025], [0.555, 0.110, 0.918], [0.445, 0.890, 0.418], [0.345, 0.690, 0.022], [0.699, 0.397, 0.868], [0.493, 0.987, 0.741], [0.302, 0.604, 0.680], [0.981, 0.962, 0.523], [0.655, 0.310, 0.522], [0.301, 0.603, 0.368], [0.507, 0.013, 0.241], [0.698, 0.396, 0.180], [0.019, 0.038, 0.023]], "energy_ev_per_atom": -6.74}

=====

{"formula": "PrU3Pd4S12", "functional": "PBE", "state": "optimized geometry", "cell": [[8.353, -0.146, -0.203], [-2.154, 8.072, -0.203], [-2.154, -2.755, 7.590]], "species": ["Pr", "U", "U", "U", "Pd", "Pd", "Pd", "Pd", "S", "S", "S", "S", "S", "S", "S", "S", "S", "S", "S", "S"], "frac_coords": [[0.000, 0.000, 0.000], [0.565, 0.435, 0.000], [0.435, 0.000, 0.565], [0.000, 0.565, 0.435], [0.910, 0.090, 0.500], [0.090, 0.500, 0.910], [0.500, 0.910, 0.090], [0.500, 0.500, 0.500], [0.500, 0.332, 0.668], [0.912, 0.500, 0.088], [0.088, 0.912, 0.500], [0.500, 0.088, 0.912], [0.320, 0.984, 0.239], [0.239, 0.320, 0.984], [0.984, 0.239, 0.320], [0.680, 0.761, 0.016], [0.016, 0.680, 0.761], [0.761, 0.016, 0.680], [0.668, 0.500, 0.332], [0.332, 0.668, 0.500]], "energy_ev_per_atom": -6.24}

=====

{"formula": "Pr2SbPd3", "functional": "PBE", "state": "optimized geometry", "cell": [[-2.676, -3.592, 1.008], [1.476, 0.628, -4.302], [12.707, -8.595, 3.106]], "species": ["Pr", "Pr", "Pr", "Pr", "Sb", "Sb", "Pd", "Pd", "Pd", "Pd", "Pd", "Pd"], "frac_coords": [[0.000, 0.000, 0.618], [0.000, 0.000, 0.382], [0.000, 0.000, 0.118], [0.000, 0.000, 0.882], [0.667, 0.333, 0.750], [0.333, 0.667, 0.250], [0.667, 0.333, 0.250], [0.333, 0.667, 0.750], [0.667, 0.333, 0.501], [0.333, 0.667, 0.499], [0.333, 0.667, 0.001], [0.667, 0.333, 0.999]], "de_polymorph_mev_per_atom": 0.0}